# 1
Below is an optimized crystal structure of AlSi2F, with properties calculated at the PBE level.

Cell: 4.1008 4.1008 8.4637 Å, 75.98 75.98 90.00°
Last column: nearest neighbours and their distance in Å.
Fractional positions:
Si 0.5477 0.1250 0.2500  2 F 2.35, 2 Si 2.49, 2 Al 2.61
Si 0.2023 0.6250 0.2500  2 F 2.35, 2 Si 2.49, 2 Al 2.61
Si 0.8750 0.7977 0.7500  2 F 2.35, 2 Si 2.49, 2 Al 2.61
Si 0.3750 0.4523 0.7500  2 F 2.35, 2 Si 2.49, 2 Al 2.61
Al 0.0000 0.0000 0.0000  4 Si 2.61, 4 F 2.90
Al 0.7500 0.2500 0.5000  4 Si 2.61, 4 F 2.90
F 0.2500 0.7500 0.5000  4 Si 2.35
F 0.5000 0.5000 0.0000  4 Si 2.35

Calculated values
Space-group type: I-42d (122)
Crystal system: tetragonal
Total magnetic moment: 0.0 μB per cell
Mass density: 2.54 Mg/m³

# 2
Below is an optimized crystal structure of K2LaSi, with properties calculated at the PBE level.

Cell: 6.7606 6.7606 3.9401 Å, 90.00 90.00 123.67°
Last column: nearest neighbours and their distance in Å.
Fractional positions:
La 0.5000 0.0000 0.5000  2 Si 3.19
Si 0.0000 0.5000 0.5000  2 La 3.19
K 0.0000 0.0000 0.0000  2 K 3.19
K 0.5000 0.5000 0.0000  2 K 3.19

Calculated values
Space-group type: Cmmm (65)
Crystal system: orthorhombic
Total magnetic moment: 0.0 μB per cell
Mass density: 2.72 Mg/m³

# 3
Below is an optimized crystal structure of Ti3RhO, with properties calculated at the PBE level.

Cell: 4.0855 4.0855 4.0855 Å, 90.00 90.00 90.00°
Last column: nearest neighbours and their distance in Å.
Fractional positions:
Ti 0.5000 0.0000 0.0000  2 O 2.04
Ti 0.0000 0.5000 0.0000  2 O 2.04
Ti 0.0000 0.0000 0.5000  2 O 2.04
Rh 0.5000 0.5000 0.5000  12 Ti 2.89
O 0.0000 0.0000 0.0000  6 Ti 2.04

Calculated values
Space-group type: Pm-3m (221)
Crystal system: cubic
Total magnetic moment: 0.0 μB per cell
Mass density: 6.39 Mg/m³

# 4
Below is an optimized crystal structure of TaTi2InN, with properties calculated at the PBE level.

Cell: 4.3133 4.3133 4.1464 Å, 90.00 90.00 90.00°
Last column: nearest neighbours and their distance in Å.
Fractional positions:
N 0.0000 0.0000 0.0000  2 Ta 2.07, 4 Ti 2.16
Ta 0.0000 0.0000 0.5000  2 N 2.07
In 0.5000 0.5000 0.5000  8 Ti 2.99, 4 Ta 3.05
Ti 0.0000 0.5000 0.0000  2 N 2.16
Ti 0.5000 0.0000 0.0000  2 N 2.16

Calculated values
Space-group type: P4/mmm (123)
Crystal system: tetragonal
Total magnetic moment: 0.7 μB per cell
Mass density: 8.73 Mg/m³

no.,raw formation energy (eV per atom)
1,-0.15
2,0.52
3,-1.33
4,-0.64